--- w ---
# InTeMo2 | Alexandria | GGA-PBEsol | relaxed
# total magnetization: 0.000 μB per atom
data_InTeMo2
_chemical_formula_sum 'In1 Te1 Mo2'
_cell_length_a 3.2618
_cell_length_b 3.2618
_cell_length_c 6.6683
_cell_angle_alpha 90.00
_cell_angle_beta 90.00
_cell_angle_gamma 90.00
_space_group_name_H-M_alt 'P 4/m m m'
_space_group_IT_number 123
_space_group_name_Hall '-P 4 2'
loop_
_atom_site_label
_atom_site_type_symbol
_atom_site_fract_x
_atom_site_fract_y
_atom_site_fract_z
_atom_site_occupancy
In1 In 0.0000 0.0000 0.0000 1
Te1 Te 0.0000 0.0000 0.5000 1
Mo1 Mo 0.5000 0.5000 0.2663 1

--- x ---
# InTeMo2 | Alexandria | GGA-PBEsol | relaxed
# total magnetization: 0.000 μB per atom
data_InTeMo2
_chemical_formula_sum 'In3 Te3 Mo6'
_cell_length_a 3.2453
_cell_length_b 3.2453
_cell_length_c 26.1077
_cell_angle_alpha 90.00
_cell_angle_beta 90.00
_cell_angle_gamma 120.00
_space_group_name_H-M_alt 'R 3 m'
_space_group_IT_number 160
_space_group_name_Hall 'R 3 -2"'
loop_
_atom_site_label
_atom_site_type_symbol
_atom_site_fract_x
_atom_site_fract_y
_atom_site_fract_z
_atom_site_occupancy
In1 In 0.0000 0.0000 0.0000 1
Te1 Te 0.0000 0.0000 0.7681 1
Mo1 Mo 0.0000 0.0000 0.2485 1
Mo2 Mo 0.0000 0.0000 0.5152 1

Result of the stability comparison: x is the most stable of them.

--- w ---
# InN | Alexandria | GGA-PBEsol | relaxed
# total magnetization: 0.000 μB per atom
data_InN
_chemical_formula_sum 'In2 N2'
_cell_length_a 3.5391
_cell_length_b 3.5391
_cell_length_c 5.7152
_cell_angle_alpha 90.00
_cell_angle_beta 90.00
_cell_angle_gamma 120.00
_space_group_name_H-M_alt 'P 63 m c'
_space_group_IT_number 186
_space_group_name_Hall 'P 6c -2c'
loop_
_atom_site_label
_atom_site_type_symbol
_atom_site_fract_x
_atom_site_fract_y
_atom_site_fract_z
_atom_site_occupancy
In1 In 0.3333 0.6667 0.0000 1
N1 N 0.3333 0.6667 0.6210 1

--- x ---
# InN | Alexandria | GGA-PBEsol | relaxed
# total magnetization: 0.000 μB per atom
data_InN
_chemical_formula_sum 'In4 N4'
_cell_length_a 4.9892
_cell_length_b 4.9892
_cell_length_c 4.9892
_cell_angle_alpha 90.00
_cell_angle_beta 90.00
_cell_angle_gamma 90.00
_space_group_name_H-M_alt 'F -4 3 m'
_space_group_IT_number 216
_space_group_name_Hall 'F -4 2 3'
loop_
_atom_site_label
_atom_site_type_symbol
_atom_site_fract_x
_atom_site_fract_y
_atom_site_fract_z
_atom_site_occupancy
In1 In 0.0000 0.0000 0.0000 1
N1 N 0.2500 0.2500 0.7500 1

Result of the stability comparison: w is the most stable of them.

--- w ---
# InPN2 | Alexandria | GGA-PBEsol | relaxed
# total magnetization: 0.000 μB per atom
data_InPN2
_chemical_formula_sum 'In3 P3 N6'
_cell_length_a 2.7753
_cell_length_b 2.7753
_cell_length_c 19.6032
_cell_angle_alpha 90.00
_cell_angle_beta 90.00
_cell_angle_gamma 120.00
_space_group_name_H-M_alt 'R -3 m'
_space_group_IT_number 166
_space_group_name_Hall '-R 3 2"'
loop_
_atom_site_label
_atom_site_type_symbol
_atom_site_fract_x
_atom_site_fract_y
_atom_site_fract_z
_atom_site_occupancy
In1 In 0.0000 0.0000 0.0000 1
P1 P 0.0000 0.0000 0.5000 1
N1 N 0.0000 0.0000 0.1195 1

--- x ---
# InPN2 | Alexandria | GGA-PBEsol | relaxed
# total magnetization: 0.000 μB per atom
data_InPN2
_chemical_formula_sum 'In4 P4 N8'
_cell_length_a 5.2517
_cell_length_b 5.2517
_cell_length_c 7.3880
_cell_angle_alpha 90.00
_cell_angle_beta 90.00
_cell_angle_gamma 90.00
_space_group_name_H-M_alt 'I -4 2 d'
_space_group_IT_number 122
_space_group_name_Hall 'I -4 2bw'
loop_
_atom_site_label
_atom_site_type_symbol
_atom_site_fract_x
_atom_site_fract_y
_atom_site_fract_z
_atom_site_occupancy
In1 In 0.0000 0.0000 0.0000 1
P1 P 0.0000 0.0000 0.5000 1
N1 N 0.0524 0.7500 0.6250 1

Result of the stability comparison: x is the most stable of them.

--- w ---
# InSiN2 | Alexandria | GGA-PBEsol | relaxed
# total magnetization: 0.000 μB per atom
data_InSiN2
_chemical_formula_sum 'In4 Si4 N8'
_cell_length_a 4.8914
_cell_length_b 4.8914
_cell_length_c 8.3913
_cell_angle_alpha 90.00
_cell_angle_beta 90.00
_cell_angle_gamma 90.00
_space_group_name_H-M_alt 'I -4 2 d'
_space_group_IT_number 122
_space_group_name_Hall 'I -4 2bw'
loop_
_atom_site_label
_atom_site_type_symbol
_atom_site_fract_x
_atom_site_fract_y
_atom_site_fract_z
_atom_site_occupancy
In1 In 0.0000 0.0000 0.0000 1
Si1 Si 0.0000 0.0000 0.5000 1
N1 N 0.1419 0.7500 0.6250 1

--- x ---
# InSiN2 | Alexandria | GGA-PBEsol | relaxed
# total magnetization: 0.000 μB per atom
data_InSiN2
_chemical_formula_sum 'In3 Si3 N6'
_cell_length_a 3.3876
_cell_length_b 3.3876
_cell_length_c 16.7491
_cell_angle_alpha 90.00
_cell_angle_beta 90.00
_cell_angle_gamma 120.00
_space_group_name_H-M_alt 'R -3 m'
_space_group_IT_number 166
_space_group_name_Hall '-R 3 2"'
loop_
_atom_site_label
_atom_site_type_symbol
_atom_site_fract_x
_atom_site_fract_y
_atom_site_fract_z
_atom_site_occupancy
In1 In 0.0000 0.0000 0.0000 1
Si1 Si 0.0000 0.0000 0.5000 1
N1 N 0.0000 0.0000 0.4008 1

Result of the stability comparison: w is the most stable of them.

--- w ---
# NaIn2Sn2 | Alexandria | GGA-PBEsol | relaxed
# total magnetization: 0.000 μB per atom
data_NaIn2Sn2
_chemical_formula_sum 'Na2 In4 Sn4'
_cell_length_a 5.1221
_cell_length_b 5.1221
_cell_length_c 11.4261
_cell_angle_alpha 90.00
_cell_angle_beta 90.00
_cell_angle_gamma 90.00
_space_group_name_H-M_alt 'I 4/m m m'
_space_group_IT_number 139
_space_group_name_Hall '-I 4 2'
loop_
_atom_site_label
_atom_site_type_symbol
_atom_site_fract_x
_atom_site_fract_y
_atom_site_fract_z
_atom_site_occupancy
Na1 Na 0.0000 0.0000 0.0000 1
In1 In 0.0000 0.5000 0.2500 1
Sn1 Sn 0.0000 0.0000 0.3768 1

--- x ---
# NaIn2Sn2 | Alexandria | GGA-PBEsol | relaxed
# total magnetization: 0.000 μB per atom
data_NaIn2Sn2
_chemical_formula_sum 'Na2 In4 Sn4'
_cell_length_a 8.3468
_cell_length_b 8.3468
_cell_length_c 3.8537
_cell_angle_alpha 90.00
_cell_angle_beta 90.00
_cell_angle_gamma 90.00
_space_group_name_H-M_alt 'P 4/m b m'
_space_group_IT_number 127
_space_group_name_Hall '-P 4 2ab'
loop_
_atom_site_label
_atom_site_type_symbol
_atom_site_fract_x
_atom_site_fract_y
_atom_site_fract_z
_atom_site_occupancy
Na1 Na 0.0000 0.0000 0.0000 1
In1 In 0.1562 0.3438 0.5000 1
Sn1 Sn 0.1394 0.6394 0.0000 1

Result of the stability comparison: w is the most stable of them.

--- w ---
# Nb3InS | Alexandria | GGA-PBEsol | relaxed
# total magnetization: 0.000 μB per atom
data_Nb3InS
_chemical_formula_sum 'Nb3 In1 S1'
_cell_length_a 4.5700
_cell_length_b 4.5700
_cell_length_c 4.5700
_cell_angle_alpha 90.00
_cell_angle_beta 90.00
_cell_angle_gamma 90.00
_space_group_name_H-M_alt 'P m -3 m'
_space_group_IT_number 221
_space_group_name_Hall '-P 4 2 3'
loop_
_atom_site_label
_atom_site_type_symbol
_atom_site_fract_x
_atom_site_fract_y
_atom_site_fract_z
_atom_site_occupancy
Nb1 Nb 0.0000 0.0000 0.5000 1
In1 In 0.5000 0.5000 0.5000 1
S1 S 0.0000 0.0000 0.0000 1

--- x ---
# Nb3InS | Alexandria | GGA-PBEsol | relaxed
# total magnetization: 0.003 μB per atom
data_Nb3InS
_chemical_formula_sum 'Nb3 In1 S1'
_cell_length_a 4.9877
_cell_length_b 4.9877
_cell_length_c 4.9877
_cell_angle_alpha 90.00
_cell_angle_beta 90.00
_cell_angle_gamma 90.00
_space_group_name_H-M_alt 'P m -3 m'
_space_group_IT_number 221
_space_group_name_Hall '-P 4 2 3'
loop_
_atom_site_label
_atom_site_type_symbol
_atom_site_fract_x
_atom_site_fract_y
_atom_site_fract_z
_atom_site_occupancy
Nb1 Nb 0.0000 0.0000 0.5000 1
In1 In 0.0000 0.0000 0.0000 1
S1 S 0.5000 0.5000 0.5000 1

Result of the stability comparison: w is the most stable of them.